First-principles (PBE with a Hubbard U) data for a relaxed MnAl3O crystal, as listed in Alexandria via LeMat-Bulk.

The symmetry is Pm-3m, No. 221. The final energy is -24.9 eV per formula unit. The relative energy among the computed polymorphs is 0.0 kJ per mole of atoms. The magnetic moment is 3.21 μB/f.u. The mass density comes out at 3.49 g cm⁻³.

abc: 4.1636 4.1636 4.1636
angles: 90.00 90.00 90.00
With the nearest neighbours (Å) after each atom.
Fractional coordinates of all 5 atoms:
Al (0.0000, 0.5000, 0.0000)  2 O 2.08
O (0.0000, 0.0000, 0.0000)  6 Al 2.08
Al (0.0000, 0.0000, 0.5000)  2 O 2.08
Al (0.5000, 0.0000, 0.0000)  2 O 2.08
Mn (0.5000, 0.5000, 0.5000)  12 Al 2.94